Compound: CoMo2RhC
Source: the Alexandria database
Functional: PBE
Structure: optimized geometry

POSCAR file:
```
CoMo2RhC
1.0
4.136 0.000 0.000
0.000 4.136 0.000
0.000 0.000 3.767
C Mo Rh Co
1 2 1 1
Direct
0.000 0.000 0.000
0.500 0.000 0.000
0.000 0.500 0.000
0.500 0.500 0.500
0.000 0.000 0.500
```

The size of the total moment comes out at 1.25 μB/f.u. Its space-group type is No. 123.

---

Compound: Co2SnMoC
Source: the Alexandria database
Functional: PBE
Structure: optimized geometry

POSCAR file:
```
Co2SnMoC
1.0
3.916 0.000 0.000
0.000 3.916 0.000
0.000 0.000 4.156
Mo Co C Sn
1 2 1 1
Direct
0.000 0.000 0.500
0.000 0.500 0.000
0.500 0.000 0.000
0.000 0.000 0.000
0.500 0.500 0.500
```

The size of the total moment comes out at 1.47 μB/f.u. Its space-group type is No. 123.

---

Compound: CoTcMoC2
Source: the Alexandria database
Functional: PBE
Structure: optimized geometry

POSCAR file:
```
CoTcMoC2
1.0
3.895 0.000 0.000
0.000 3.895 0.000
0.000 0.000 5.045
C Mo Co Tc
2 1 1 1
Direct
0.500 0.000 0.000
0.000 0.500 0.000
0.000 0.000 0.500
0.500 0.500 0.500
0.000 0.000 0.000
```

The size of the total moment comes out at 1.95 μB/f.u. Its space-group type is No. 123.

---

Number 1: E -0.32988 hartree per atom. Number 2: E -0.27937 hartree per atom. Number 3: E -0.26786 hartree per atom.